Density functional theory data (PBE-GGA) for an optimized crystal structure of NdSmBe2Si2.

The structure in POSCAR format:
```
NdSmBe2Si2
1.0
3.942 0.000 0.000
-1.971 3.414 0.000
0.000 0.000 8.407
Si Be Sm Nd
2 2 1 1
direct
0.333 0.667 0.254 Si
0.667 0.333 0.746 Si
0.333 0.667 0.747 Be
0.667 0.333 0.253 Be
0.000 0.000 0.500 Sm
0.000 0.000 0.000 Nd
```

Output
For the theoretical density, the calculation gives 5.412 g/cm³. The space group is P-3m1 (164). For the total DFT energy (no corrections), the calculation gives -5.247 eV per atom.

=====

Density functional theory data (PBE-GGA) for an optimized crystal structure of TbNdBe2Si2.

The structure in POSCAR format:
```
TbNdBe2Si2
1.0
-2.076 -3.181 0.947
3.502 0.611 1.640
-3.621 4.199 6.167
Tb Si Be Nd
1 2 2 1
direct
0.000 0.000 0.500 Tb
0.333 0.667 0.258 Si
0.667 0.333 0.742 Si
0.333 0.667 0.743 Be
0.667 0.333 0.257 Be
0.000 0.000 0.000 Nd
```

Output
For the theoretical density, the calculation gives 5.693 g/cm³. The space group is P-3m1 (164). For the total DFT energy (no corrections), the calculation gives -5.246 eV per atom.

=====

Density functional theory data (PBE-GGA) for an optimized crystal structure of NdYBe2Si2.

The structure in POSCAR format:
```
NdYBe2Si2
1.0
3.910 0.000 0.000
-1.955 3.386 0.000
0.000 0.000 8.272
Si Y Be Nd
2 1 2 1
direct
0.333 0.667 0.259 Si
0.667 0.333 0.741 Si
0.000 0.000 0.500 Y
0.667 0.333 0.257 Be
0.333 0.667 0.743 Be
0.000 0.000 0.000 Nd
```

Output
For the theoretical density, the calculation gives 4.661 g/cm³. The space group is P-3m1 (164). For the total DFT energy (no corrections), the calculation gives -5.559 eV per atom.

=====

Density functional theory data (PBE-GGA) for an optimized crystal structure of TbNdBe.

The structure in POSCAR format:
```
TbNdBe
1.0
-0.554 3.593 3.476
1.683 -4.549 1.331
9.585 3.067 -1.642
Be Nd Tb
3 3 3
direct
0.333 0.667 0.112 Be
0.000 0.000 0.495 Be
0.333 0.667 0.887 Be
0.000 0.000 0.807 Nd
0.333 0.667 0.494 Nd
0.000 0.000 0.179 Nd
0.667 0.333 0.658 Tb
0.667 0.333 0.994 Tb
0.667 0.333 0.330 Tb
```

Output
For the theoretical density, the calculation gives 6.962 g/cm³. The space group is P3m1 (156). For the total DFT energy (no corrections), the calculation gives -4.160 eV per atom.

=====

Density functional theory data (PBE-GGA) for an optimized crystal structure of NdThBe.

The structure in POSCAR format:
```
NdThBe
1.0
0.450 -1.877 4.454
1.357 2.832 3.702
-3.197 1.169 3.461
Nd Be Th
1 1 1
direct
0.250 0.250 0.250 Nd
0.000 0.000 0.000 Be
0.750 0.750 0.750 Th
```

Output
As for the energy above the most stable polymorph in this dataset: 0.0 meV per atom. For the theoretical density, the calculation gives 7.909 g/cm³. The space group is F-43m (216). For the total DFT energy (no corrections), the calculation gives -4.963 eV per atom.

=====

Density functional theory data (PBE-GGA) for an optimized crystal structure of NdTmBe.

The structure in POSCAR format:
```
NdTmBe
1.0
0.000 3.375 3.375
3.375 0.000 3.375
3.375 3.375 0.000
Nd Tm Be
1 1 1
direct
0.750 0.750 0.750 Nd
0.000 0.000 0.000 Tm
0.250 0.250 0.250 Be
```

Output
For the theoretical density, the calculation gives 6.956 g/cm³. The space group is F-43m (216). For the total DFT energy (no corrections), the calculation gives -3.484 eV per atom.